[1]
Entry from the Alexandria database: an optimized crystal structure of RuC (PBE).

a b c (Å): 3.3595 4.2338 2.9422
angles (deg): 90.00 90.00 90.00
Space group Pmmn (No. 59, origin choice 2)
One atom of each set of equivalent atoms:
1 Ru 0.2500 0.2500 0.1158 [2 per cell]
2 C 0.2500 0.7500 0.2583 [2 per cell]

electronic total energy: -33.68 eV per cell
crystal system: orthorhombic
energy of formation from the pure elements: 1.66 eV per formula unit
V: 21 Å³/f.u.

[2]
Entry from the Alexandria database: an optimized crystal structure of Te2PdI (PBE).

a b c (Å): 5.9980 5.9980 12.8176
angles (deg): 90.00 90.00 90.00
Space group I4_1/amd (No. 141, origin choice 2)
One atom of each set of equivalent atoms:
1 Te 0.0000 0.2500 0.0818 [8 per cell]
2 Pd 0.0000 0.2500 0.8750 [4 per cell]
3 I 0.0000 0.2500 0.3750 [4 per cell]

electronic total energy: -52.60 eV per cell
crystal system: tetragonal
V: 115 Å³/f.u.